Compound: Y2PbAu
Source: the Alexandria database
Functional: GGA-PBE
Structure: relaxed

Computed properties:
Formation energy   -0.583 eV per atom

Cell lengths 3.684, 4.987, 11.501 Å; angles 90.00, 90.00, 90.00 degrees
Space group Imm2 (No. 44)
Symmetry-distinct sites (fractional):
Y  0.000  0.000  0.000 [2 per cell]
Y  0.000  0.500  0.226 [2 per cell]
Pb  0.000  0.500  0.791 [2 per cell]
Au  0.000  0.000  0.514 [2 per cell]